(1)
A plane-wave DFT calculation with PBE was carried out for Pm2SN after structural relaxation.

Lattice parameters (Å, degrees): 3.6851 3.6851 7.1232 75.01 75.01 60.00
Each line ends with the local moment (μB).
Fractional positions:
Pm 0.0925 0.0925 0.7225  0.03
Pm 0.2430 0.2430 0.2711  0.11
S 0.6678 0.6678 0.9966  0.00
N 0.4967 0.4967 0.5098  0.00

Results
ΔE to the lowest computed polymorph ... 0.301 eV per atom
Formation energy without anion corrections ... -564 kJ/mol of formula units
Volume ... 20.0 Å³/atom
Space-group type ... R3m (160)

---

(2)
A plane-wave DFT calculation with PBE was carried out for CrCd5 after structural relaxation.

Lattice parameters (Å, degrees): 8.2348 8.2348 4.7692 90.00 90.00 156.82
Each line ends with the local moment (μB).
Fractional positions:
Cr 0.8871 0.1129 0.5000  3.73
Cd 0.9970 0.0030 0.0000  0.01
Cd 0.6663 0.3337 0.0000  0.01
Cd 0.3394 0.6606 0.0000  -0.01
Cd 0.5472 0.4528 0.5000  -0.01
Cd 0.2298 0.7702 0.5000  -0.01

Results
Volume ... 21.2 Å³/atom
Calculated formation energy ... 0.183 eV/atom
Space-group type ... Amm2 (38)

---

(3)
A plane-wave DFT calculation with PBE was carried out for BeZnTe2S after structural relaxation.

Lattice parameters (Å, degrees): 3.3028 6.4537 7.0300 94.45 93.88 103.82
Fractional positions:
Be 0.0086 0.5541 0.4198
Zn 0.3782 0.4739 0.8137
Te 0.9679 0.1813 0.5375
Te 0.9958 0.6599 0.0893
S 0.5854 0.6863 0.5553

Results
ΔE to the lowest computed polymorph ... 0.159 eV per atom
Formation energy without anion corrections ... -120 kJ/mol of formula units
Volume ... 28.9 Å³/atom
Space-group type ... P1 (1)

---

(4)
A plane-wave DFT calculation with PBE was carried out for MgCu2W after structural relaxation.

Lattice parameters (Å, degrees): 4.6091 4.6091 2.7312 90.00 90.00 90.00
Fractional positions:
Cu 0.0000 0.0000 0.0000
Cu 0.5000 0.5000 0.0000
Mg 0.5000 0.0000 0.5000
W 0.0000 0.5000 0.5000

Results
Volume ... 14.5 Å³/atom
Calculated formation energy ... 0.288 eV/atom
Space-group type ... P4/mmm (123)

---

(5)
A plane-wave DFT calculation with PBE was carried out for SnSbPb after structural relaxation.

Lattice parameters (Å, degrees): 5.7711 5.7711 6.4006 90.00 90.00 120.00
Fractional positions:
Sn 0.0000 0.0000 0.7499
Sn 0.0000 0.0000 0.2501
Sb 0.3333 0.6667 0.7492
Sb 0.6667 0.3333 0.2508
Pb 0.3333 0.6667 0.2491
Pb 0.6667 0.3333 0.7509

Results
ΔE to the lowest computed polymorph ... 0.023 eV per atom
Formation energy without anion corrections ... 23 kJ/mol of formula units
Volume ... 30.8 Å³/atom
Space-group type ... P-3m1 (164)

---

(6)
A plane-wave DFT calculation with PBE was carried out for KCeCO5 after structural relaxation.

Lattice parameters (Å, degrees): 5.8891 5.8891 7.9224 104.88 104.88 105.74
Each line ends with the local moment (μB).
Fractional positions:
K 0.3408 0.6592 0.2500  0.00
K 0.6592 0.3408 0.7500  0.00
Ce 0.0000 0.0000 0.5000  -0.04
Ce 0.0000 0.0000 0.0000  -0.04
C 0.6883 0.3117 0.2500  -0.02
C 0.3117 0.6883 0.7500  -0.02
O 0.0715 0.9285 0.2500  0.03
O 0.9285 0.0715 0.7500  0.03
O 0.8391 0.2923 0.1392  0.20
O 0.1609 0.7077 0.8608  0.20
O 0.7077 0.1609 0.3608  0.20
O 0.2923 0.8391 0.6392  0.20
O 0.7628 0.5604 0.3675  0.24
O 0.2372 0.4396 0.6325  0.24
O 0.4396 0.2372 0.1325  0.24
O 0.5604 0.7628 0.8675  0.24

Results
Formation energy without anion corrections ... -1456 kJ/mol of formula units
Volume ... 15.0 Å³/atom
Space-group type ... C2/c (15)